No. 1
Entry from the Alexandria database: a relaxed CsTi2SnSb crystal (GGA-PBEsol).

Geometry as extended XYZ:
```
5
Lattice="-3.302 3.264 -2.465 -4.016 -1.990 2.746 0.908 4.243 4.402" Properties=species:S:1:pos:R:3 pbc="T T T"
Cs 0.454 2.121 2.201
Sb -3.205 2.758 2.342
Ti -2.008 -0.995 1.373
Ti -1.651 1.632 -1.232
Sn 0.000 0.000 0.000
```

Results
Space group ... P4/mmm, No. 123
Formation energy from raw total energies ... 0.998 eV/atom

=====

No. 2
Entry from the Alexandria database: a relaxed ZnNi6Ir crystal (GGA-PBEsol).

Geometry as extended XYZ:
```
32
Lattice="-4.576 -1.555 -3.781 3.504 -4.915 1.104 -5.729 -2.312 7.884" Properties=species:S:1:pos:R:3 pbc="T T T"
Ni -1.413 -2.905 2.906
Ni -2.864 -1.156 3.942
Ni -0.536 -3.235 -1.338
Ni -5.388 -5.877 2.301
Ni -3.431 -2.066 1.686
Ni -3.401 -4.391 2.603
Ni 0.000 0.000 0.000
Ni -2.815 -5.808 5.793
Ni -1.950 -6.143 1.566
Ni -2.834 -3.479 4.861
Ni -3.987 -2.975 -0.586
Ni -2.540 -4.726 -1.620
Ni -6.849 -4.130 3.353
Ni -6.281 -3.216 5.605
Ni -3.967 -5.304 0.346
Ni -4.851 -2.639 3.641
Ni -3.371 -6.717 3.521
Ni -2.004 -1.490 -0.281
Ni 0.048 -4.653 1.854
Ni -6.818 -6.452 4.266
Ni -4.261 -4.057 6.827
Ni -0.520 -5.566 -0.398
Ni 0.016 -2.330 0.941
Ni -4.797 -7.293 5.488
Zn -4.283 -1.729 5.894
Zn -1.378 -5.233 3.827
Zn -5.423 -3.550 1.380
Zn -1.446 -0.584 1.989
Ir -4.819 -4.964 4.555
Ir -1.982 -3.819 0.652
Ir 1.504 -4.084 -0.105
Ir -2.576 -2.387 -2.572
```

Results
Space group ... Cmmm, No. 65
Energy of formation from the pure elements ... -48.2 kJ/mol of formula units

=====

No. 3
Entry from the Alexandria database: a relaxed CuI crystal (GGA-PBEsol).

Geometry as extended XYZ:
```
4
Lattice="4.300 0.000 0.000 0.000 4.904 0.109 0.000 0.053 4.905" Properties=species:S:1:pos:R:3 pbc="T T T"
Cu 1.075 2.899 2.932
Cu 3.225 2.058 2.081
I 3.225 3.875 3.920
I 1.075 1.081 1.094
```

Results
Space group ... Cmcm, No. 63
Formation energy from raw total energies ... -0.039 eV/atom

=====

No. 4
Entry from the Alexandria database: a relaxed LiAuSe2 crystal (GGA-PBEsol).

Geometry as extended XYZ:
```
4
Lattice="-0.836 0.398 -3.666 -0.713 -4.300 -0.305 -4.367 2.714 3.240" Properties=species:S:1:pos:R:3 pbc="T T T"
Se -3.569 0.530 0.871
Se -2.346 -1.717 -1.602
Au -0.356 -2.150 -0.152
Li -0.418 0.199 -1.833
```

Results
Space group ... Immm, No. 71
Formation energy from raw total energies ... -0.419 eV/atom

=====

No. 5
Entry from the Alexandria database: a relaxed SrTl2Pb crystal (GGA-PBEsol).

Geometry as extended XYZ:
```
4
Lattice="-2.521 3.136 -0.345 -0.859 -1.107 -3.787 -5.524 -4.170 2.471" Properties=species:S:1:pos:R:3 pbc="T T T"
Pb -1.690 1.014 -2.066
Tl -4.281 -3.231 1.915
Tl -1.243 -0.938 0.556
Sr -4.452 -1.070 -0.831
```

Results
Space group ... P4/mmm, No. 123
Energy of formation from the pure elements ... -100.6 kJ/mol of formula units

=====

No. 6
Entry from the Alexandria database: a relaxed CdSi crystal (GGA-PBEsol).

Geometry as extended XYZ:
```
6
Lattice="-3.137 -2.163 -1.915 3.773 -4.537 -1.057 -3.187 0.128 5.076" Properties=species:S:1:pos:R:3 pbc="T T T"
Si 0.000 0.000 0.000
Si -0.115 -4.064 0.030
Si -2.435 -2.509 2.074
Cd 0.293 -2.205 2.010
Cd -1.593 0.064 2.538
Cd 1.887 -2.269 -0.529
```

Results
Space group ... P6/mmm, No. 191
Formation energy from raw total energies ... 0.707 eV/atom

=====

No. 7
Entry from the Alexandria database: a relaxed Li2MnBe crystal (GGA-PBEsol).

Geometry as extended XYZ:
```
4
Lattice="2.212 0.000 0.000 0.000 4.568 0.000 0.000 -2.284 4.320" Properties=species:S:1:pos:R:3 pbc="T T T"
Li 0.000 1.142 2.160
Li 0.000 -1.142 2.160
Be 1.106 2.284 0.000
Mn 1.106 0.000 0.000
```

Results
Space group ... Cmmm, No. 65
Energy of formation from the pure elements ... 161.4 kJ/mol of formula units

=====

No. 8
Entry from the Alexandria database: a relaxed TcTe2W crystal (GGA-PBEsol).

Geometry as extended XYZ:
```
4
Lattice="-4.159 1.324 1.884 -3.283 -3.274 1.054 -0.980 -1.007 4.542" Properties=species:S:1:pos:R:3 pbc="T T T"
Te -6.317 -2.218 5.610
Te 0.000 0.000 0.000
Tc -4.211 -1.478 3.740
W -2.106 -0.739 1.870
```

Results
Space group ... F-43m, No. 216
Formation energy from raw total energies ... 1.116 eV/atom

=====

No. 9
Entry from the Alexandria database: a relaxed SrY3B crystal (GGA-PBEsol).

Geometry as extended XYZ:
```
5
Lattice="-3.613 2.703 -2.931 -2.708 -4.566 -0.873 -2.926 0.889 4.427" Properties=species:S:1:pos:R:3 pbc="T T T"
Y -1.354 -2.283 -0.437
Y -1.463 0.444 2.213
Y -1.806 1.352 -1.465
Sr 0.000 0.000 0.000
B -4.623 -0.487 0.311
```

Results
Space group ... Pm-3m, No. 221
Energy of formation from the pure elements ... 996.4 kJ/mol of formula units

=====

No. 10
Entry from the Alexandria database: a relaxed TcTeW3 crystal (GGA-PBEsol).

Geometry as extended XYZ:
```
5
Lattice="-3.571 -0.473 -3.020 2.539 -3.044 -2.526 -1.701 -3.550 2.568" Properties=species:S:1:pos:R:3 pbc="T T T"
W 1.270 -1.522 -1.263
W -0.851 -1.775 1.284
W -1.785 -0.237 -1.510
Tc 0.000 0.000 0.000
Te -1.366 -3.534 -1.488
```

Results
Space group ... Pm-3m, No. 221
Formation energy from raw total energies ... 1.953 eV/atom

=====

No. 11
Entry from the Alexandria database: a relaxed ZrTcNiCl2 crystal (GGA-PBEsol).

Geometry as extended XYZ:
```
5
Lattice="-1.434 -3.203 2.835 -1.551 -2.397 -3.493 3.981 -2.083 -0.339" Properties=species:S:1:pos:R:3 pbc="T T T"
Tc 0.000 0.000 0.000
Cl -0.776 -1.198 -1.746
Cl -0.717 -1.601 1.417
Zr 0.498 -3.841 -0.498
Ni 1.990 -1.041 -0.169
```

Results
Space group ... P4/mmm, No. 123
Formation energy from raw total energies ... 0.609 eV/atom

=====

No. 12
Entry from the Alexandria database: a relaxed Ba3Au2 crystal (GGA-PBEsol).

Geometry as extended XYZ:
```
5
Lattice="-2.647 0.150 4.869 3.882 -3.848 -0.928 4.763 4.212 2.460" Properties=species:S:1:pos:R:3 pbc="T T T"
Au 5.609 0.935 3.020
Au 0.390 -0.422 3.381
Ba 3.254 -1.146 1.804
Ba 2.744 1.659 4.597
Ba 0.000 0.000 0.000
```

Results
Space group ... P-3m1, No. 164
Energy of formation from the pure elements ... -251.7 kJ/mol of formula units

=====

Magnetization? In order: 2.5, 8.1, 0.0, 0.0, 0.0, 0.0, 0.6, 0.3, 0.0, 0.0, 0.0, 0.0 μB/cell.